VASP calculation (PBE) on MgUPb after structural relaxation.

Cell: 5.1027 5.1027 5.1027 Å, 60.00 60.00 60.00°
Sites, in units of the cell vectors:
Mg  0.0000  0.0000  0.0000
U  0.5000  0.5000  0.5000
Pb  0.2500  0.2500  0.2500

**Total magnetic moment**: 3.843 μB per formula unit
**E_tot**: -14.7 eV for the cell shown
**Crystal system**: cubic